Below is an optimized crystal structure of ScMnN2O, with properties calculated at the PBE+U level.

Cell: 4.2116 4.2116 3.9807 Å, 90.00 90.00 90.00°
Last column: nearest neighbours and their distance in Å.
Space group P4/mmm (No. 123)
Symmetry-distinct sites (fractional):
Sc1 0.0000 0.0000 0.0000  2 O 1.99, 4 N 2.11
Mn1 0.5000 0.5000 0.5000  8 N 2.90, 4 O 2.98
N1 0.0000 0.5000 0.0000  2 Sc 2.11
O1 0.0000 0.0000 0.5000  2 Sc 1.99

Total magnetic moment (μB/cell): 2.1
Total energy (eV/atom): -7.068